MgInNi2Ge, single point on PBEsol structure, DFT meta-GGA SCAN; energy relative to the elements = 0.3822 eV per atom; space-group type = P4/mmm; final energy = -17.577 eV per atom; M_tot = 0.00 μB per formula unit
1.0
4.398 0.000 0.000
0.000 4.398 0.000
0.000 0.000 4.784
Mg In Ni Ge
1 1 2 1
Direct
0.000 0.000 0.000 Mg
0.500 0.500 0.000 In
0.000 0.500 0.500 Ni
0.500 0.000 0.500 Ni
0.000 0.000 0.500 Ge